No. 1
Density functional theory data (PBE) for Rb2La2Mg after structural relaxation.

a = 8.2144 Å, b = 8.2144 Å, c = 7.2955 Å
α = 90.00°, β = 90.00°, γ = 90.00°
Positions (direct):
Rb 0.1978 0.3022 0.0000
Rb 0.3022 0.8022 0.0000
Rb 0.6978 0.1978 0.0000
Rb 0.8022 0.6978 0.0000
La 0.1265 0.6265 0.5000
La 0.3735 0.1265 0.5000
La 0.6265 0.8735 0.5000
La 0.8735 0.3735 0.5000
Mg 0.0000 0.0000 0.5000
Mg 0.5000 0.5000 0.5000

Results
* ΔE to the lowest computed polymorph: 0.000 eV per atom
* formation energy: 220.8 kJ/mol of formula units
* D(E_F): 6.46 states/eV per cell
* space-group type: P4/mbm (127)

No. 2
Density functional theory data (PBE) for Rb3LaMg after structural relaxation.

a = 7.4291 Å, b = 7.4291 Å, c = 7.4291 Å
α = 90.00°, β = 90.00°, γ = 90.00°
Positions (direct):
Rb 0.0000 0.0000 0.5000
Rb 0.0000 0.5000 0.0000
Rb 0.5000 0.0000 0.0000
La 0.0000 0.0000 0.0000
Mg 0.5000 0.5000 0.5000

Results
* formation energy: 456.5 kJ/mol of formula units
* D(E_F): 6.90 states/eV per cell
* space-group type: Pm-3m (221)

No. 3
Density functional theory data (PBE) for Rb2La2Mg after structural relaxation.

a = 10.9596 Å, b = 10.9596 Å, c = 10.9596 Å
α = 155.31°, β = 155.31°, γ = 35.19°
Positions (direct):
Rb 0.2500 0.7500 0.5000
Rb 0.7500 0.2500 0.5000
La 0.0749 0.0749 0.0000
La 0.9251 0.9251 0.0000
Mg 0.5000 0.5000 0.0000

Results
* ΔE to the lowest computed polymorph: 0.126 eV per atom
* formation energy: 281.4 kJ/mol of formula units
* D(E_F): 3.11 states/eV per cell
* space-group type: I4/mmm (139)

No. 4
Density functional theory data (PBE) for RbLaMg14 after structural relaxation.

a = 10.7117 Å, b = 6.5713 Å, c = 6.5713 Å
α = 64.62°, β = 90.00°, γ = 90.00°
Positions (direct):
Rb 0.0000 0.0000 0.0000
La 0.0000 0.4925 0.4925
Mg 0.0000 0.5046 0.9898
Mg 0.0000 0.9898 0.5046
Mg 0.2470 0.2464 0.2464
Mg 0.2512 0.7262 0.7262
Mg 0.2778 0.2323 0.7358
Mg 0.2778 0.7358 0.2323
Mg 0.5000 0.4044 0.9291
Mg 0.5000 0.4125 0.4125
Mg 0.5000 0.9005 0.9005
Mg 0.5000 0.9291 0.4044
Mg 0.7222 0.2323 0.7358
Mg 0.7222 0.7358 0.2323
Mg 0.7488 0.7262 0.7262
Mg 0.7530 0.2464 0.2464

Results
* ΔE to the lowest computed polymorph: 0.016 eV per atom
* formation energy: 195.1 kJ/mol of formula units
* D(E_F): 7.28 states/eV per cell
* space-group type: Amm2 (38)